Computed, not measured: a relaxed ScAs2Pt crystal at the PBE level of DFT.

**Space group**: F-43m, No. 216
**E_form**: -39.6 kJ/mol of atoms
**E above lowest polymorph**: 292 meV per atom
**Magnetization**: 0.000 μB/atom

Cell lengths 4.6901, 4.6901, 4.6901 Å; angles 60.00, 60.00, 60.00 degrees
With the nearest neighbours (Å) after each atom.
Fractional positions:
As  0.0000  0.0000  0.0000  4 As 2.87, 4 Sc 2.87
Pt  0.5000  0.5000  0.5000  4 Sc 2.87, 4 As 2.87
Sc  0.7500  0.7500  0.7500  4 As 2.87, 4 Pt 2.87
As  0.2500  0.2500  0.2500  4 As 2.87, 4 Pt 2.87

Computed, not measured: a relaxed ZrTa2Al crystal at the PBE level of DFT.

**Space group**: P4/mmm, No. 123
**E_form**: -10.5 kJ/mol of atoms
**Magnetization**: 0.000 μB/atom

Cell lengths 4.6183, 4.0307, 4.0307 Å; angles 90.00, 90.00, 90.00 degrees
With the nearest neighbours (Å) after each atom.
Fractional positions:
Zr  0.5000  0.5000  0.0000  4 Al 2.85, 8 Ta 3.06
Al  0.5000  0.0000  0.5000  4 Zr 2.85, 8 Ta 3.06
Ta  0.0000  0.0000  0.0000  4 Ta 2.85, 4 Zr 3.06, 4 Al 3.06
Ta  0.0000  0.5000  0.5000  4 Ta 2.85, 4 Zr 3.06, 4 Al 3.06

Computed, not measured: a relaxed CsRb4Tl crystal at the PBE level of DFT.

**Space group**: F-43m, No. 216
**E_form**: 15.4 kJ/mol of atoms
**E above lowest polymorph**: 167 meV per atom
**Magnetization**: 0.207 μB/atom

Cell lengths 8.7829, 8.7829, 8.7829 Å; angles 60.00, 60.00, 60.00 degrees
With the nearest neighbours (Å) after each atom.
Fractional positions:
Rb  0.6265  0.6265  0.6265  6 Rb 4.34-4.44
Cs  0.2500  0.2500  0.2500  12 Rb 5.16, 4 Tl 5.38
Rb  0.6265  0.1205  0.6265  6 Rb 4.34-4.44
Rb  0.6265  0.6265  0.1205  6 Rb 4.34-4.44
Rb  0.1205  0.6265  0.6265  6 Rb 4.34-4.44
Tl  0.0000  0.0000  0.0000  12 Rb 5.14, 4 Cs 5.38

Computed, not measured: a relaxed Pd2WSe crystal at the PBE level of DFT.

**Space group**: I-42d, No. 122
**Final energy**: -50.88 eV per cell
**Magnetization**: 0.000 μB/atom

Cell lengths 7.1937, 7.1937, 5.7155 Å; angles 51.00, 51.00, 90.00 degrees
With the nearest neighbours (Å) after each atom.
Fractional positions:
Se  0.5000  0.5000  0.0000  4 Pd 2.57, 2 W 2.61
Pd  0.8750  0.8636  0.7500  2 Se 2.57, 2 Pd 2.61, 2 W 2.68
Pd  0.1364  0.6250  0.2500  2 Se 2.57, 2 Pd 2.61, 2 W 2.68
Pd  0.6136  0.1250  0.2500  2 Se 2.57, 2 Pd 2.61, 2 W 2.68
W  0.7500  0.2500  0.5000  2 Se 2.61, 4 Pd 2.68
W  0.0000  0.0000  0.0000  2 Se 2.61, 4 Pd 2.68
Se  0.2500  0.7500  0.5000  4 Pd 2.57, 2 W 2.61
Pd  0.3750  0.3864  0.7500  2 Se 2.57, 2 Pd 2.61, 2 W 2.68

Computed, not measured: a relaxed DyEr2Tm2Mg crystal at the PBE level of DFT.

**Space group**: Pnnm, No. 58
**E_form**: 47.7 kJ/mol of atoms
**Magnetization**: 0.000 μB/atom

Cell lengths 3.5817, 11.5991, 10.1652 Å; angles 90.00, 90.00, 90.00 degrees
With the nearest neighbours (Å) after each atom.
Fractional positions:
Er  0.0000  0.7232  0.9070  2 Dy 3.29, 1 Mg 3.35, 2 Tm 3.36, 2 Er 3.58
Mg  0.5000  0.5000  0.5000  4 Tm 3.23, 2 Er 3.35, 2 Mg 3.58
Er  0.0000  0.2768  0.0930  2 Dy 3.29, 1 Mg 3.35, 2 Tm 3.36, 2 Er 3.58
Dy  0.5000  0.5000  0.0000  4 Tm 3.22, 4 Er 3.29, 2 Dy 3.58
Tm  0.0000  0.5737  0.2498  2 Dy 3.22, 2 Mg 3.23, 2 Er 3.36, 2 Tm 3.58
Er  0.5000  0.7768  0.4070  2 Dy 3.29, 1 Mg 3.35, 2 Tm 3.36, 2 Er 3.58
Tm  0.0000  0.4263  0.7502  2 Dy 3.22, 2 Mg 3.23, 2 Er 3.36, 2 Tm 3.58
Mg  0.0000  0.0000  0.0000  4 Tm 3.23, 2 Er 3.35, 2 Mg 3.58
Dy  0.0000  0.0000  0.5000  4 Tm 3.22, 4 Er 3.29, 2 Dy 3.58
Tm  0.5000  0.0737  0.2502  2 Dy 3.22, 2 Mg 3.23, 2 Er 3.36, 2 Tm 3.58
Er  0.5000  0.2232  0.5930  2 Dy 3.29, 1 Mg 3.35, 2 Tm 3.36, 2 Er 3.58
Tm  0.5000  0.9263  0.7498  2 Dy 3.22, 2 Mg 3.23, 2 Er 3.36, 2 Tm 3.58

Computed, not measured: a relaxed Bi2AsAu crystal at the PBE level of DFT.

**Space group**: R3m, No. 160
**E_form**: 4.7 kJ/mol of atoms
**Magnetization**: 0.000 μB/atom

Cell lengths 4.0894, 4.0894, 7.8325 Å; angles 74.87, 74.87, 60.00 degrees
With the nearest neighbours (Å) after each atom.
Fractional positions:
Au  0.4991  0.4991  0.5027  6 Bi 3.00-3.03
Bi  0.2503  0.2503  0.2490  3 As 3.02, 3 Au 3.03
As  0.6675  0.6675  0.9976  6 Bi 3.00-3.02
Bi  0.0831  0.0831  0.7506  3 As 3.00, 3 Au 3.00

Computed, not measured: a relaxed BeTlMo2 crystal at the PBE level of DFT.

**Space group**: R3m, No. 160
**E_form**: 63.5 kJ/mol of atoms
**E above lowest polymorph**: 296 meV per atom
**Magnetization**: 0.000 μB/atom

Cell lengths 8.6793, 8.6793, 8.6793 Å; angles 20.54, 20.54, 20.54 degrees
With the nearest neighbours (Å) after each atom.
Fractional positions:
Mo  0.0014  0.0014  0.0014  3 Mo 2.55, 3 Be 2.57
Tl  0.4943  0.4943  0.4943  3 Be 2.84, 6 Tl 3.09, 3 Mo 3.17
Be  0.7407  0.7407  0.7407  3 Mo 2.57, 3 Tl 2.84
Mo  0.2636  0.2636  0.2636  3 Mo 2.55

Computed, not measured: a relaxed TbPrPtRh crystal at the PBE level of DFT.

**Space group**: F-43m, No. 216
**E_form**: -86.5 kJ/mol of atoms
**E above lowest polymorph**: 64 meV per atom
**Magnetization**: 0.000 μB/atom

Cell lengths 5.0093, 5.0093, 5.0093 Å; angles 60.00, 60.00, 60.00 degrees
With the nearest neighbours (Å) after each atom.
Fractional positions:
Tb  0.0000  0.0000  0.0000  4 Pt 3.07, 4 Rh 3.07
Pr  0.5000  0.5000  0.5000  4 Pt 3.07, 4 Rh 3.07
Pt  0.7500  0.7500  0.7500  4 Pr 3.07, 4 Tb 3.07
Rh  0.2500  0.2500  0.2500  4 Tb 3.07, 4 Pr 3.07

Computed, not measured: a relaxed Sm4SnB3Rh12 crystal at the PBE level of DFT.

**Space group**: Im-3m, No. 229
**E_form**: -53.8 kJ/mol of atoms
**Magnetization**: 0.000 μB/atom

Cell lengths 7.6004, 7.6004, 7.6004 Å; angles 109.47, 109.47, 109.47 degrees
With the nearest neighbours (Å) after each atom.
Fractional positions:
Rh  0.5000  0.2500  0.7500  2 B 2.19
Rh  0.2500  0.7500  0.5000  2 B 2.19
Rh  0.7205  0.7205  0.0000  1 B 1.94
Rh  0.2795  0.0000  0.2795  1 B 1.94
Rh  0.5000  0.7500  0.2500  2 B 2.19
Rh  0.7500  0.5000  0.2500  2 B 2.19
Sm  0.0000  0.5000  0.0000  12 Rh 3.10-3.11
Rh  0.0000  0.7205  0.7205  1 B 1.94
B  0.5000  0.5000  0.0000  2 Rh 1.94
Sm  0.5000  0.5000  0.5000  12 Rh 3.10-3.11
Rh  0.2795  0.2795  0.0000  1 B 1.94
Sm  0.0000  0.0000  0.5000  12 Rh 3.10-3.11
Sn  0.0000  0.0000  0.0000  6 Rh 2.45
Rh  0.7500  0.2500  0.5000  2 B 2.19
Rh  0.2500  0.5000  0.7500  2 B 2.19
Rh  0.7205  0.0000  0.7205  1 B 1.94
Sm  0.5000  0.0000  0.0000  12 Rh 3.10-3.11
B  0.0000  0.5000  0.5000  2 Rh 1.94
B  0.5000  0.0000  0.5000  2 Rh 1.94
Rh  0.0000  0.2795  0.2795  1 B 1.94

Computed, not measured: a relaxed BaCd2Sn2Hg crystal at the PBE level of DFT.

**Space group**: Pnnm, No. 58
**E_form**: -22.6 kJ/mol of atoms
**Magnetization**: 0.000 μB/atom

Cell lengths 5.2224, 7.6308, 9.7382 Å; angles 90.00, 90.00, 90.00 degrees
With the nearest neighbours (Å) after each atom.
Fractional positions:
Cd  0.5000  0.1782  0.2908  3 Sn 2.91-2.99, 1 Hg 3.19
Sn  0.5000  0.2127  0.6910  1 Hg 2.87, 3 Cd 2.91-2.99
Hg  0.0000  0.0000  0.0000  2 Sn 2.87, 2 Cd 3.19
Cd  0.0000  0.6782  0.2092  3 Sn 2.91-2.99, 1 Hg 3.19
Hg  0.5000  0.5000  0.5000  2 Sn 2.87, 2 Cd 3.19
Cd  0.0000  0.3218  0.7908  3 Sn 2.91-2.99, 1 Hg 3.19
Sn  0.0000  0.2873  0.1910  1 Hg 2.87, 3 Cd 2.91-2.99
Ba  0.5000  0.5000  0.0000  6 Cd 3.58-3.75, 6 Sn 3.59-3.72
Sn  0.5000  0.7873  0.3090  1 Hg 2.87, 3 Cd 2.91-2.99
Sn  0.0000  0.7127  0.8090  1 Hg 2.87, 3 Cd 2.91-2.99
Ba  0.0000  0.0000  0.5000  6 Cd 3.58-3.75, 6 Sn 3.59-3.72
Cd  0.5000  0.8218  0.7092  3 Sn 2.91-2.99, 1 Hg 3.19

Computed, not measured: a relaxed BaPrI2 crystal at the PBE level of DFT.

**Space group**: R-3m, No. 166
**Final energy**: -13.60 eV per cell
**Magnetization**: 0.000 μB/atom

Cell lengths 4.1943, 4.1943, 11.7841 Å; angles 79.75, 79.75, 60.00 degrees
With the nearest neighbours (Å) after each atom.
Fractional positions:
I  0.8972  0.8972  0.3085  3 Pr 3.28, 1 Ba 3.56
Pr  0.5000  0.5000  0.5000  6 I 3.28
Ba  0.0000  0.0000  0.0000  2 I 3.56
I  0.1028  0.1028  0.6915  3 Pr 3.28, 1 Ba 3.56

Computed, not measured: a relaxed Ac6Pd2Pt crystal at the PBE level of DFT.

**Space group**: P2_1/c, No. 14
**E_form**: -59.9 kJ/mol of atoms
**Magnetization**: 0.000 μB/atom

Cell lengths 7.2235, 7.9416, 11.2775 Å; angles 90.00, 85.92, 90.00 degrees
With the nearest neighbours (Å) after each atom.
Fractional positions:
Pd  0.0590  0.6168  0.7753  6 Ac 3.09-3.31
Pd  0.9410  0.3832  0.2247  6 Ac 3.09-3.31
Ac  0.6691  0.1856  0.4279  1 Pt 2.97, 2 Pd 3.09-3.31
Ac  0.8297  0.6745  0.4208  1 Pt 3.02, 2 Pd 3.12-3.26
Ac  0.8361  0.9495  0.7542  1 Pt 3.05, 2 Pd 3.11-3.19
Ac  0.6703  0.1745  0.0792  1 Pt 3.02, 2 Pd 3.12-3.26
Ac  0.3309  0.8144  0.5721  1 Pt 2.97, 2 Pd 3.09-3.31
Ac  0.3297  0.8255  0.9208  1 Pt 3.02, 2 Pd 3.12-3.26
Ac  0.8309  0.6856  0.0721  1 Pt 2.97, 2 Pd 3.09-3.31
Ac  0.1691  0.3144  0.9279  1 Pt 2.97, 2 Pd 3.09-3.31
Ac  0.3361  0.5505  0.2542  1 Pt 3.05, 2 Pd 3.11-3.19
Ac  0.1703  0.3255  0.5792  1 Pt 3.02, 2 Pd 3.12-3.26
Pd  0.4410  0.1168  0.7247  6 Ac 3.09-3.31
Pd  0.5590  0.8832  0.2753  6 Ac 3.09-3.31
Ac  0.1639  0.0505  0.2458  1 Pt 3.05, 2 Pd 3.11-3.19
Pt  0.0000  0.0000  0.5000  6 Ac 2.97-3.05
Ac  0.6639  0.4495  0.7458  1 Pt 3.05, 2 Pd 3.11-3.19
Pt  0.5000  0.5000  0.0000  6 Ac 2.97-3.05

Computed, not measured: a relaxed PrIn4Hg crystal at the PBE level of DFT.

**Space group**: F-43m, No. 216
**E_form**: -13.5 kJ/mol of atoms
**Magnetization**: 0.000 μB/atom

Cell lengths 6.1572, 6.1572, 6.1572 Å; angles 60.00, 60.00, 60.00 degrees
With the nearest neighbours (Å) after each atom.
Fractional positions:
Pr  0.2500  0.2500  0.2500  12 In 3.61, 4 Hg 3.77
In  0.6250  0.6250  0.6250  6 In 3.08
In  0.1251  0.6250  0.6250  6 In 3.08
In  0.6250  0.6250  0.1251  6 In 3.08
In  0.6250  0.1251  0.6250  6 In 3.08
Hg  0.0000  0.0000  0.0000  12 In 3.61, 4 Pr 3.77

Computed, not measured: a relaxed SmThP2 crystal at the PBE level of DFT.

**Space group**: R3m, No. 160
**E_form**: -136.1 kJ/mol of atoms
**E above lowest polymorph**: 167 meV per atom
**Magnetization**: 0.000 μB/atom

Cell lengths 4.0767, 4.0767, 7.4209 Å; angles 74.06, 74.06, 60.00 degrees
With the nearest neighbours (Å) after each atom.
Fractional positions:
P  0.2517  0.2517  0.2448  3 Th 2.96, 3 Sm 3.02
Th  0.6698  0.6698  0.9906  6 P 2.89-2.96
P  0.0827  0.0827  0.7520  3 Th 2.89, 3 Sm 2.89
Sm  0.4958  0.4958  0.5126  6 P 2.89-3.02

Computed, not measured: a relaxed K2CaInBr5 crystal at the PBE level of DFT.

**Space group**: Cmc2_1, No. 36
**Final energy**: -58.96 eV per cell
**Magnetization**: 0.000 μB/atom

Cell lengths 4.4530, 10.0310, 15.7485 Å; angles 90.00, 90.00, 102.82 degrees
With the nearest neighbours (Å) after each atom.
Fractional positions:
Br  0.1041  0.2082  0.0765  1 Ca 2.89, 2 In 3.18
Ca  0.7511  0.5023  0.5392  6 Br 2.89-2.98
K  0.1303  0.2606  0.2978  4 Br 3.31-3.52
Br  0.7659  0.5318  0.1622  2 Ca 2.97
K  0.8697  0.7394  0.7978  4 Br 3.31-3.52
In  0.4367  0.8734  0.4412  5 Br 3.18-3.45
Br  0.2730  0.5460  0.4167  2 Ca 2.98, 1 In 3.22
Ca  0.2489  0.4977  0.0392  6 Br 2.89-2.98
Br  0.3918  0.7836  0.9908  1 Ca 2.90
Br  0.7270  0.4540  0.9167  2 Ca 2.98, 1 In 3.22
Br  0.4911  0.9821  0.7598  1 In 3.19, 4 K 3.25-3.31
In  0.5633  0.1266  0.9412  5 Br 3.18-3.45
Br  0.2341  0.4682  0.6622  2 Ca 2.97
Br  0.5089  0.0179  0.2598  1 In 3.19, 4 K 3.25-3.31
Br  0.6082  0.2164  0.4908  1 Ca 2.90
K  0.9362  0.8725  0.1398  6 Br 3.25-3.43
Br  0.8959  0.7918  0.5765  1 Ca 2.89, 2 In 3.18
K  0.0638  0.1275  0.6398  6 Br 3.25-3.43

Computed, not measured: a relaxed Pm3Be2Ga3 crystal at the PBE level of DFT.

**Space group**: Cmcm, No. 63
**E_form**: -37.9 kJ/mol of atoms
**Magnetization**: 0.000 μB/atom

Cell lengths 4.0408, 5.8890, 15.4152 Å; angles 90.00, 90.00, 110.06 degrees
With the nearest neighbours (Å) after each atom.
Fractional positions:
Pm  0.1477  0.2954  0.5925  7 Ga 3.05-3.30, 4 Be 3.10-3.26
Ga  0.5806  0.1611  0.4422  2 Be 2.33, 1 Ga 2.52
Pm  0.4540  0.9080  0.7500  5 Ga 2.99-3.15, 4 Be 3.05
Pm  0.8523  0.7046  0.4075  7 Ga 3.05-3.30, 4 Be 3.10-3.26
Be  0.1431  0.2861  0.3811  3 Ga 2.33-2.43
Be  0.8569  0.7139  0.6189  3 Ga 2.33-2.43
Ga  0.4194  0.8389  0.9422  2 Be 2.33, 1 Ga 2.52
Ga  0.4194  0.8389  0.5578  2 Be 2.33, 1 Ga 2.52
Pm  0.5460  0.0920  0.2500  5 Ga 2.99-3.15, 4 Be 3.05
Be  0.1431  0.2861  0.1189  3 Ga 2.33-2.43
Pm  0.1477  0.2954  0.9075  7 Ga 3.05-3.30, 4 Be 3.10-3.26
Ga  0.2648  0.5295  0.2500  2 Be 2.43
Pm  0.8523  0.7046  0.0925  7 Ga 3.05-3.30, 4 Be 3.10-3.26
Be  0.8569  0.7139  0.8811  3 Ga 2.33-2.43
Ga  0.5806  0.1611  0.0578  2 Be 2.33, 1 Ga 2.52
Ga  0.7352  0.4705  0.7500  2 Be 2.43

Computed, not measured: a relaxed MgHg2Bi crystal at the PBE level of DFT.

**Space group**: R3m, No. 160
**E_form**: -2.4 kJ/mol of atoms
**Magnetization**: 0.000 μB/atom

Cell lengths 4.6884, 4.6884, 6.3459 Å; angles 68.32, 68.32, 60.00 degrees
With the nearest neighbours (Å) after each atom.
Fractional positions:
Bi  0.4910  0.4910  0.5270  6 Hg 3.12-3.27, 1 Mg 3.20
Mg  0.6771  0.6771  0.9688  6 Hg 2.88-3.03, 1 Bi 3.20
Hg  0.0672  0.0672  0.7983  3 Mg 2.88, 3 Bi 3.12
Hg  0.2647  0.2647  0.2059  3 Mg 3.03, 3 Bi 3.27

Computed, not measured: a relaxed NiAg2Br8 crystal at the PBE level of DFT.

**Space group**: C2/m, No. 12
**Final energy**: -26.36 eV per cell
**Magnetization**: 0.000 μB/atom

Cell lengths 6.4358, 7.9060, 7.9060 Å; angles 95.29, 75.19, 75.19 degrees
With the nearest neighbours (Å) after each atom.
Fractional positions:
Br  0.2330  0.5361  0.5361  2 Ag 2.61-2.63
Br  0.6306  0.2019  0.2019  1 Ni 2.53, 1 Ag 2.60
Br  0.8714  0.7443  0.0361  1 Ni 2.39
Ni  0.0000  0.0000  0.0000  6 Br 2.39-2.53
Br  0.8714  0.0361  0.7443  1 Ni 2.39
Br  0.1286  0.2557  0.9639  1 Ni 2.39
Br  0.1286  0.9639  0.2557  1 Ni 2.39
Br  0.3694  0.7981  0.7981  1 Ni 2.53, 1 Ag 2.60
Br  0.7670  0.4639  0.4639  2 Ag 2.61-2.63
Ag  0.8065  0.6989  0.6989  5 Br 2.60-2.81
Ag  0.1935  0.3011  0.3011  5 Br 2.60-2.81

Computed, not measured: a relaxed YPb5 crystal at the PBE level of DFT.

**Space group**: Cmmm, No. 65
**E_form**: -14.3 kJ/mol of atoms
**E above lowest polymorph**: 0 meV per atom
**Magnetization**: 0.000 μB/atom

Cell lengths 8.3774, 8.3774, 4.8442 Å; angles 90.00, 90.00, 147.82 degrees
With the nearest neighbours (Å) after each atom.
Fractional positions:
Pb  0.6306  0.3694  0.0000  10 Pb 3.36-3.75, 2 Y 3.45
Pb  0.3139  0.6861  0.0000  10 Pb 3.36-3.75, 2 Y 3.45
Pb  0.8050  0.1950  0.5000  10 Pb 3.36-3.71, 2 Y 3.62
Pb  0.1393  0.8607  0.5000  10 Pb 3.36-3.71, 2 Y 3.62
Y  0.9722  0.0278  0.0000  12 Pb 3.36-3.62
Pb  0.4722  0.5278  0.5000  4 Y 3.36, 8 Pb 3.52-3.56

Computed, not measured: a relaxed Ca4NdHg2 crystal at the PBE level of DFT.

**Space group**: R-3m, No. 166
**E_form**: -12.1 kJ/mol of atoms
**Magnetization**: 0.000 μB/atom

Cell lengths 5.7185, 5.7185, 9.4878 Å; angles 72.46, 72.46, 60.00 degrees
With the nearest neighbours (Å) after each atom.
Fractional positions:
Ca  0.1133  0.1133  0.6601  3 Ca 3.58, 3 Nd 3.60, 3 Hg 3.65
Ca  0.7278  0.7278  0.8166  4 Hg 3.10-3.31
Nd  0.5000  0.5000  0.5000  2 Hg 2.98
Hg  0.3884  0.3884  0.8349  1 Nd 2.98, 4 Ca 3.10-3.31
Ca  0.2722  0.2722  0.1834  4 Hg 3.10-3.31
Hg  0.6116  0.6116  0.1651  1 Nd 2.98, 4 Ca 3.10-3.31
Ca  0.8867  0.8867  0.3399  3 Ca 3.58, 3 Nd 3.60, 3 Hg 3.65